No. 1
LiTcIr2: optimized geometry, GGA-PBE.

```
data_LiTcIr2
_chemical_formula_sum 'Li1 Tc1 Ir2'
_cell_length_a 4.4304
_cell_length_b 4.4304
_cell_length_c 2.8428
_cell_angle_alpha 90.00
_cell_angle_beta 90.00
_cell_angle_gamma 90.00
_space_group_name_H-M_alt 'P 4/m m m'
_space_group_IT_number 123
_space_group_name_Hall '-P 4 2'
loop_
_atom_site_label
_atom_site_type_symbol
_atom_site_fract_x
_atom_site_fract_y
_atom_site_fract_z
_atom_site_occupancy
Li1 Li 0.0000 0.0000 0.0000 1
Tc1 Tc 0.5000 0.5000 0.0000 1
Ir1 Ir 0.0000 0.5000 0.5000 1
```

- Mass density: 14.6 g/cm3
- Crystal system: tetragonal
- E_form: 5.7 kJ/mol of atoms
- M_tot: 0.00 Bohr magnetons per cell

---

No. 2
Ba3PF: optimized geometry, GGA-PBE.

```
data_Ba3PF
_chemical_formula_sum 'Ba3 P1 F1'
_cell_length_a 5.3390
_cell_length_b 5.3390
_cell_length_c 5.3390
_cell_angle_alpha 90.00
_cell_angle_beta 90.00
_cell_angle_gamma 90.00
_space_group_name_H-M_alt 'P m -3 m'
_space_group_IT_number 221
_space_group_name_Hall '-P 4 2 3'
loop_
_atom_site_label
_atom_site_type_symbol
_atom_site_fract_x
_atom_site_fract_y
_atom_site_fract_z
_atom_site_occupancy
Ba1 Ba 0.0000 0.0000 0.5000 1
P1 P 0.5000 0.5000 0.5000 1
F1 F 0.0000 0.0000 0.0000 1
```

- Mass density: 5.0 g/cm3
- Crystal system: cubic
- ΔE_f (raw): -116.61 kJ per mole of atoms
- M_tot: 0.00 Bohr magnetons per cell